The following is a PBE calculation of HfSbI2Br after structural relaxation, from the Alexandria database.

As for the volume: 181.39 Å³ per cell. For the total moment, the calculation gives 0.261 μB/atom. As for the calculated total energy: -2.66 eV/atom. The formation energy without anion corrections comes out at 1.110 eV per atom.

Unit cell a=5.5793 b=5.5793 c=5.8272 alpha=90.00 beta=90.00 gamma=90.00
With the nearest neighbours (Å) after each atom.
Space group P4/mmm (No. 123)
One atom of each set of equivalent atoms:
Hf: 0.0000 0.0000 0.0000 (multiplicity 1)  4 Sb 3.95, 8 I 4.03
Sb: 0.5000 0.5000 0.0000 (multiplicity 1)  2 Br 2.91
I: 0.0000 0.5000 0.5000 (multiplicity 2)  2 Br 2.79
Br: 0.5000 0.5000 0.5000 (multiplicity 1)  4 I 2.79, 2 Sb 2.91

***

The following is a PBE calculation of HfSe2IBr after structural relaxation, from the Alexandria database.

As for the volume: 144.89 Å³ per cell. For the total moment, the calculation gives 0.000 μB/atom. As for the calculated total energy: -4.49 eV/atom. The formation energy without anion corrections comes out at -0.460 eV per atom.

Unit cell a=5.2376 b=5.2376 c=5.2816 alpha=90.00 beta=90.00 gamma=90.00
With the nearest neighbours (Å) after each atom.
Space group P4/mmm (No. 123)
One atom of each set of equivalent atoms:
Hf: 0.0000 0.0000 0.0000 (multiplicity 1)  4 Se 2.62, 2 Br 2.64
Se: 0.0000 0.5000 0.0000 (multiplicity 2)  2 Hf 2.62
I: 0.5000 0.5000 0.5000 (multiplicity 1)  4 Br 3.70, 8 Se 3.72
Br: 0.0000 0.0000 0.5000 (multiplicity 1)  2 Hf 2.64

***

The following is a PBE calculation of HfSe2IBr after structural relaxation, from the Alexandria database.

As for the volume: 160.83 Å³ per cell. For the total moment, the calculation gives 0.347 μB/atom. As for the calculated total energy: -2.99 eV/atom. The formation energy without anion corrections comes out at 1.041 eV per atom.

Unit cell a=5.4351 b=5.4351 c=5.4442 alpha=90.00 beta=90.00 gamma=90.00
With the nearest neighbours (Å) after each atom.
Space group P4/mmm (No. 123)
One atom of each set of equivalent atoms:
Hf: 0.0000 0.0000 0.0000 (multiplicity 1)  4 Br 3.84, 8 Se 3.85
Se: 0.0000 0.5000 0.5000 (multiplicity 2)  2 I 2.72
I: 0.5000 0.5000 0.5000 (multiplicity 1)  4 Se 2.72, 2 Br 2.72
Br: 0.5000 0.5000 0.0000 (multiplicity 1)  2 I 2.72

***

The following is a PBE calculation of HfSeIBr2 after structural relaxation, from the Alexandria database.

As for the volume: 148.09 Å³ per cell. For the total moment, the calculation gives 0.000 μB/atom. As for the calculated total energy: -4.26 eV/atom. The formation energy without anion corrections comes out at -0.592 eV per atom.

Unit cell a=5.2938 b=5.2938 c=5.2843 alpha=90.00 beta=90.00 gamma=90.00
With the nearest neighbours (Å) after each atom.
Space group P4/mmm (No. 123)
One atom of each set of equivalent atoms:
Hf: 0.0000 0.0000 0.0000 (multiplicity 1)  2 Se 2.64, 4 Br 2.65
Se: 0.0000 0.0000 0.5000 (multiplicity 1)  2 Hf 2.64
I: 0.5000 0.5000 0.5000 (multiplicity 1)  8 Br 3.74, 4 Se 3.74
Br: 0.0000 0.5000 0.0000 (multiplicity 2)  2 Hf 2.65

***

The following is a PBE calculation of HfSeIBr2 after structural relaxation, from the Alexandria database.

As for the volume: 178.60 Å³ per cell. For the total moment, the calculation gives 0.410 μB/atom. As for the calculated total energy: -2.67 eV/atom. The formation energy without anion corrections comes out at 0.999 eV per atom.

Unit cell a=5.6007 b=5.6007 c=5.6937 alpha=90.00 beta=90.00 gamma=90.00
With the nearest neighbours (Å) after each atom.
Space group P4/mmm (No. 123)
One atom of each set of equivalent atoms:
Hf: 0.0000 0.0000 0.0000 (multiplicity 1)  4 Se 3.96, 8 Br 3.99
Se: 0.5000 0.5000 0.0000 (multiplicity 1)  2 I 2.85
I: 0.5000 0.5000 0.5000 (multiplicity 1)  4 Br 2.80, 2 Se 2.85
Br: 0.0000 0.5000 0.5000 (multiplicity 2)  2 I 2.80

***

The following is a PBE calculation of HfSiI2Br after structural relaxation, from the Alexandria database.

As for the volume: 156.63 Å³ per cell. For the total moment, the calculation gives 0.175 μB/atom. As for the calculated total energy: -3.58 eV/atom. The formation energy without anion corrections comes out at 0.449 eV per atom.

Unit cell a=5.4358 b=5.4358 c=5.3010 alpha=90.00 beta=90.00 gamma=90.00
With the nearest neighbours (Å) after each atom.
Space group P4/mmm (No. 123)
One atom of each set of equivalent atoms:
Hf: 0.0000 0.0000 0.0000 (multiplicity 1)  2 Si 2.65
Si: 0.0000 0.0000 0.5000 (multiplicity 1)  2 Hf 2.65, 4 I 2.72
I: 0.0000 0.5000 0.5000 (multiplicity 2)  2 Si 2.72
Br: 0.5000 0.5000 0.0000 (multiplicity 1)  8 I 3.80, 4 Hf 3.84

***

The following is a PBE calculation of HfTeI2Br after structural relaxation, from the Alexandria database.

As for the volume: 178.46 Å³ per cell. For the total moment, the calculation gives 0.000 μB/atom. As for the calculated total energy: -3.87 eV/atom. The formation energy without anion corrections comes out at -0.300 eV per atom.

Unit cell a=5.6279 b=5.6279 c=5.6343 alpha=90.00 beta=90.00 gamma=90.00
With the nearest neighbours (Å) after each atom.
Space group P4/mmm (No. 123)
One atom of each set of equivalent atoms:
Hf: 0.0000 0.0000 0.0000 (multiplicity 1)  4 I 2.81, 2 Te 2.82
Te: 0.0000 0.0000 0.5000 (multiplicity 1)  2 Hf 2.82
I: 0.0000 0.5000 0.0000 (multiplicity 2)  2 Hf 2.81
Br: 0.5000 0.5000 0.5000 (multiplicity 1)  4 Te 3.98, 8 I 3.98

***

The following is a PBE calculation of HfTeI2Br after structural relaxation, from the Alexandria database.

As for the volume: 185.99 Å³ per cell. For the total moment, the calculation gives 0.310 μB/atom. As for the calculated total energy: -2.55 eV/atom. The formation energy without anion corrections comes out at 1.022 eV per atom.

Unit cell a=5.5889 b=5.5889 c=5.9542 alpha=90.00 beta=90.00 gamma=90.00
With the nearest neighbours (Å) after each atom.
Space group P4/mmm (No. 123)
One atom of each set of equivalent atoms:
Hf: 0.0000 0.0000 0.0000 (multiplicity 1)  4 Te 3.95, 8 I 4.08
Te: 0.5000 0.5000 0.0000 (multiplicity 1)  2 Br 2.98
I: 0.0000 0.5000 0.5000 (multiplicity 2)  2 Br 2.79
Br: 0.5000 0.5000 0.5000 (multiplicity 1)  4 I 2.79, 2 Te 2.98

***

The following is a PBE calculation of HfTl2I5Br after structural relaxation, from the Alexandria database.

As for the volume: 806.05 Å³ per cell. For the total moment, the calculation gives 0.000 μB/atom. As for the calculated total energy: -3.53 eV/atom. The formation energy without anion corrections comes out at -0.852 eV per atom.

Unit cell a=8.2309 b=8.2309 c=11.8978 alpha=90.00 beta=90.00 gamma=90.00
With the nearest neighbours (Å) after each atom.
Space group I4mm (No. 107)
One atom of each set of equivalent atoms:
Hf: 0.0000 0.0000 0.0000 (multiplicity 2)  1 Br 2.57, 5 I 2.85-2.87
Tl: 0.0000 0.5000 0.1717 (multiplicity 4)  4 I 3.53
I: 0.0000 0.0000 0.2395 (multiplicity 2)  1 Hf 2.85
I: 0.2469 0.2469 0.0043 (multiplicity 8)  1 Hf 2.87
Br: 0.0000 0.0000 0.7842 (multiplicity 2)  1 Hf 2.57

***

The following is a PBE calculation of HfTl2I2Br4 after structural relaxation, from the Alexandria database.

As for the volume: 686.68 Å³ per cell. For the total moment, the calculation gives 0.000 μB/atom. As for the calculated total energy: -3.79 eV/atom. The formation energy without anion corrections comes out at -1.066 eV per atom.

Unit cell a=13.6266 b=7.5793 c=7.9518 alpha=90.00 beta=123.27 gamma=90.00
With the nearest neighbours (Å) after each atom.
Space group C2/m (No. 12)
One atom of each set of equivalent atoms:
Hf: 0.0000 0.0000 0.0000 (multiplicity 2)  4 Br 2.62, 2 I 2.87
Tl: 0.2494 0.0000 0.7834 (multiplicity 4)  4 Br 3.45-3.46, 1 I 3.57
I: 0.2423 0.0000 0.3279 (multiplicity 4)  1 Hf 2.87
Br: 0.0459 0.2429 0.8183 (multiplicity 8)  1 Hf 2.62

***

The following is a PBE calculation of HfIn3Br7 after structural relaxation, from the Alexandria database.

As for the volume: 837.16 Å³ per cell. For the total moment, the calculation gives 0.000 μB/atom. As for the calculated total energy: -3.72 eV/atom. The formation energy without anion corrections comes out at -1.001 eV per atom.

Unit cell a=11.7108 b=9.6067 c=8.5900 alpha=90.00 beta=119.97 gamma=90.00
With the nearest neighbours (Å) after each atom.
Space group Cm (No. 8)
One atom of each set of equivalent atoms:
Hf: 0.0000 0.0000 0.0000 (multiplicity 2)  6 Br 2.61-2.66
In: 0.9996 0.5000 0.9412 (multiplicity 2)  4 Br 3.07-3.38
In: 0.4984 0.2993 0.5052 (multiplicity 4)  2 Br 2.95-3.27
Br: 0.1313 0.1977 0.2292 (multiplicity 4)  1 Hf 2.61
Br: 0.1705 0.0000 0.8853 (multiplicity 2)  1 Hf 2.63
Br: 0.3273 0.5000 0.1093 (multiplicity 2)  1 Hf 2.62
Br: 0.3597 0.3087 0.7548 (multiplicity 4)  1 Hf 2.66
Br: 0.4972 0.0000 0.5825 (multiplicity 2)  3 In 2.95-3.07

***

The following is a PBE calculation of HfIn3Br after structural relaxation, from the Alexandria database.

As for the volume: 162.85 Å³ per cell. For the total moment, the calculation gives 0.000 μB/atom. As for the calculated total energy: -3.10 eV/atom. The formation energy without anion corrections comes out at 0.873 eV per atom.

Unit cell a=5.4609 b=5.4609 c=5.4609 alpha=90.00 beta=90.00 gamma=90.00
With the nearest neighbours (Å) after each atom.
Space group Pm-3m (No. 221)
One atom of each set of equivalent atoms:
Hf: 0.0000 0.0000 0.0000 (multiplicity 1)  12 In 3.86
In: 0.0000 0.5000 0.5000 (multiplicity 3)  2 Br 2.73
Br: 0.5000 0.5000 0.5000 (multiplicity 1)  6 In 2.73